An optimized crystal structure of MnFeRe, computed with PBE.

The value obtained for the final energy is -10.05 eV per atom. The calculation puts the density of states at the Fermi level at 6.54 states/eV per cell. The formation enthalpy at 0 K comes out at -2.2 kJ/mol of atoms. The calculated density comes out at 13.73 g cm⁻³.

Cell: 4.6740 4.6740 4.6740 Å, 89.40 120.10 120.60°
Last column: magnetic moment on the atom in μB.
Sites, in units of the cell vectors:
Fe 0.5000 0.5000 0.5000  1.22
Mn 0.5000 0.0000 0.5000  0.31
Re 0.2500 0.1256 0.8756  -0.15
Re 0.7500 0.8744 0.1244  -0.15
Mn 0.0000 0.5000 0.5000  0.31
Fe 0.0000 0.5000 0.0000  1.22